Here is Li2Zn5Pd after structural relaxation from the Alexandria database. Energies are from PBE.

Cell: 7.817 7.817 7.817 Å, 150.30 150.30 42.50°
Fractional coordinates of all 8 atoms:
Li: 0.247 0.247 0.000
Li: 0.753 0.753 0.000
Zn: 0.125 0.625 0.500
Zn: 0.375 0.875 0.500
Zn: 0.500 0.500 0.000
Zn: 0.625 0.125 0.500
Zn: 0.875 0.375 0.500
Pd: 0.000 0.000 0.000

ΔE_f	-249	meV/atom
E_tot	-2.173	eV/atom

***

Here is Li3ZnPd2 after structural relaxation from the Alexandria database. Energies are from PBE.

Cell: 4.738 4.738 8.465 Å, 100.13 100.13 110.35°
Fractional coordinates of all 12 atoms:
Li: 0.044 0.294 0.586
Li: 0.124 0.876 0.750
Li: 0.294 0.044 0.086
Li: 0.706 0.956 0.914
Li: 0.876 0.124 0.250
Li: 0.956 0.706 0.414
Zn: 0.374 0.626 0.250
Zn: 0.626 0.374 0.750
Pd: 0.206 0.457 0.911
Pd: 0.457 0.206 0.411
Pd: 0.543 0.794 0.589
Pd: 0.794 0.543 0.089

ΔE_f	-430	meV/atom
E_tot	-3.330	eV/atom
offset from the most stable computed form	0.000	eV/atom